Record 1
The following is a DFT calculation (PBE) of AsIr17 after structural relaxation. Values from VASP.

Geometry as Quantum ESPRESSO input:
```
&SYSTEM
  ibrav = 0, nat = 36, ntyp = 2
/
ATOMIC_SPECIES
Ir 192.22 Ir.upf
As 74.92 As.upf
CELL_PARAMETERS angstrom
-4.1928 -1.4815 1.5279
2.1597 -1.0661 4.8929
-6.2812 26.7076 8.5902
ATOMIC_POSITIONS crystal
Ir 0.1662 0.4996 0.4222
Ir 0.0000 0.2500 0.5004
Ir 0.8281 0.9921 0.8097
Ir 0.5043 0.0012 0.7320
Ir 0.1662 0.0002 0.4222
Ir 0.5000 0.0000 0.5000
Ir 0.8337 0.9997 0.5777
Ir 0.8313 0.5002 0.3442
Ir 0.3291 0.2503 0.3456
Ir 0.1718 0.0078 0.1901
Ir 0.1687 0.5002 0.6560
Ir 0.4948 0.9996 0.2680
Ir 0.5045 0.4992 0.7320
Ir 0.6660 0.7499 0.4220
As 0.3261 0.2500 0.8147
Ir 0.0026 0.7500 0.7329
Ir 0.4948 0.5001 0.2680
Ir 0.8282 0.5078 0.8097
Ir 0.9920 0.7500 0.2651
As 0.6741 0.7500 0.1852
Ir 0.6664 0.2500 0.4225
Ir 0.3343 0.2500 0.5779
Ir 0.1688 0.9993 0.6560
Ir 0.3266 0.7501 0.8094
Ir 0.8337 0.5005 0.5777
Ir 0.9985 0.2500 0.2673
Ir 0.8311 0.0005 0.3442
Ir 0.6712 0.7498 0.6545
Ir 0.5000 0.4999 0.5000
Ir 0.3319 0.7503 0.3446
Ir 0.3337 0.7500 0.5774
Ir 0.1717 0.4918 0.1901
Ir 0.6729 0.2500 0.1905
Ir 0.0000 0.7499 0.4995
Ir 0.0085 0.2501 0.7351
Ir 0.6680 0.2498 0.6556
```

Properties
E_tot: -8.444 eV per atom
theoretical density: 15.058 Mg/m³

***

Record 2
The following is a DFT calculation (PBE) of AlCuRe after structural relaxation. Values from VASP.

Geometry as Quantum ESPRESSO input:
```
&SYSTEM
  ibrav = 0, nat = 3, ntyp = 3
/
ATOMIC_SPECIES
Re 186.21 Re.upf
Al 26.98 Al.upf
Cu 63.55 Cu.upf
CELL_PARAMETERS angstrom
3.4279 -1.9580 1.2815
2.5882 1.8684 2.6528
0.2816 -1.3422 3.9174
ATOMIC_POSITIONS crystal
Re 0.0000 0.0000 0.0000
Al 0.2500 0.2500 0.2500
Cu 0.7500 0.7500 0.7500
```

Properties
theoretical density: 9.089 Mg/m³
polymorph energy (0 for the lowest one): 0.51 eV per formula unit

***

Record 3
The following is a DFT calculation (PBE) of GdMgZn after structural relaxation. Values from VASP.

Geometry as Quantum ESPRESSO input:
```
&SYSTEM
  ibrav = 0, nat = 9, ntyp = 3
/
ATOMIC_SPECIES
Zn 65.41 Zn.upf
Mg 24.30 Mg.upf
Gd 157.25 Gd.upf
CELL_PARAMETERS angstrom
-2.8532 -3.6526 -1.8760
1.4558 -0.1701 4.7805
-8.0149 4.9173 2.6158
ATOMIC_POSITIONS crystal
Zn 0.0000 0.0000 0.6211
Mg 0.6667 0.3333 0.9003
Gd 0.0000 0.0000 0.9666
Gd 0.3333 0.6667 0.1265
Zn 0.0000 0.0000 0.2828
Mg 0.6667 0.3333 0.2489
Zn 0.3333 0.6667 0.4368
Gd 0.3333 0.6667 0.7445
Mg 0.6667 0.3333 0.5619
```

Properties
E_tot: -2.498 eV per atom
theoretical density: 5.822 Mg/m³